P | An optimized crystal structure of Zr2HgBr2, computed with PBE.

Structure (POSCAR):
```
Zr2HgBr2
1.0
-2.7699 -6.0226 4.6962
7.3386 -0.7160 3.4104
-0.8651 2.2114 2.3258
Hg Br Zr
2 4 4
Direct
0.0000 0.0000 0.0000
0.5000 0.5000 0.0000
0.6355 0.8645 0.5000
0.1355 0.6355 0.5000
0.3645 0.1355 0.5000
0.8645 0.3645 0.5000
0.6589 0.1589 0.0000
0.8411 0.6589 0.0000
0.1589 0.3411 0.0000
0.3411 0.8411 0.0000
```

space group: P4/mbm, No. 127

Q | An optimized crystal structure of Zr2HgBr2, computed with PBE.

Structure (POSCAR):
```
Zr2HgBr2
1.0
-2.7010 0.7594 -3.3745
3.2551 -0.8897 -2.8057
-1.4377 -6.2661 -3.1130
Zr Br Hg
2 2 1
Direct
0.6089 0.6089 0.7823
0.3911 0.3911 0.2177
0.2500 0.7500 0.5000
0.7500 0.2500 0.5000
0.0000 0.0000 0.0000
```

space group: I4/mmm, No. 139

Going by the computed energies, the most stable comes first: Q, P.